(1)
Computed, not measured: a relaxed NaHfGeIr crystal at the PBE level of DFT.

Lattice parameters (Å, degrees): 4.639 4.639 4.639 60.00 60.00 60.00
Atoms (fractional coordinates):
Ge 0.500 0.500 0.500
Hf 0.250 0.250 0.250
Ir 0.000 0.000 0.000
Na 0.750 0.750 0.750

## Properties
distance to the lowest polymorph of the same formula	185	meV per atom



(2)
Computed, not measured: a relaxed AgBiSO crystal at the PBE level of DFT.

Lattice parameters (Å, degrees): 6.345 7.229 6.556 90.00 93.78 90.00
Atoms (fractional coordinates):
Ag 0.058 0.712 0.011
Ag 0.942 0.212 0.489
Ag 0.058 0.788 0.511
Ag 0.942 0.288 0.989
Bi 0.409 0.115 0.241
Bi 0.591 0.615 0.259
Bi 0.409 0.385 0.741
Bi 0.591 0.885 0.759
O 0.577 0.292 0.026
O 0.423 0.792 0.474
O 0.577 0.208 0.526
O 0.423 0.708 0.974
S 0.827 0.927 0.211
S 0.173 0.427 0.289
S 0.827 0.573 0.711
S 0.173 0.073 0.789

## Properties
distance to the lowest polymorph of the same formula	105	meV per atom



The highest distance to the lowest polymorph of the same formula belongs to which entry? NaHfGeIr